Material: GdGa3Tc
Method: DFT, PBE
State: optimized geometry

Geometry as CIF:
```
data_GdGa3Tc
_chemical_formula_sum 'Gd1 Ga3 Tc1'
_cell_length_a 4.770
_cell_length_b 4.770
_cell_length_c 4.770
_cell_angle_alpha 90.00
_cell_angle_beta 90.00
_cell_angle_gamma 90.00
_space_group_name_H-M_alt 'P 1'
_space_group_IT_number 1
loop_
_space_group_symop_operation_xyz
'x,y,z'
loop_
_atom_site_label
_atom_site_type_symbol
_atom_site_fract_x
_atom_site_fract_y
_atom_site_fract_z
_atom_site_occupancy
Gd1 Gd 0.000 0.000 0.000 1
Ga1 Ga 0.000 0.500 0.500 1
Ga2 Ga 0.500 0.000 0.500 1
Ga3 Ga 0.500 0.500 0.000 1
Tc1 Tc 0.500 0.500 0.500 1
```

=====

Material: Y12Tm3Ga5
Method: DFT, PBE
State: optimized geometry

Geometry as CIF:
```
data_Y12Tm3Ga5
_chemical_formula_sum 'Y48 Tm12 Ga20'
_cell_length_a 15.350
_cell_length_b 15.350
_cell_length_c 15.350
_cell_angle_alpha 109.47
_cell_angle_beta 109.47
_cell_angle_gamma 109.47
_space_group_name_H-M_alt 'P 1'
_space_group_IT_number 1
loop_
_space_group_symop_operation_xyz
'x,y,z'
loop_
_atom_site_label
_atom_site_type_symbol
_atom_site_fract_x
_atom_site_fract_y
_atom_site_fract_z
_atom_site_occupancy
Y1 Y 0.032 0.208 0.109 1
Y2 Y 0.032 0.325 0.923 1
Y3 Y 0.077 0.609 0.402 1
Y4 Y 0.077 0.968 0.675 1
Y5 Y 0.098 0.708 0.675 1
Y6 Y 0.098 0.891 0.423 1
Y7 Y 0.109 0.032 0.208 1
Y8 Y 0.109 0.577 0.902 1
Y9 Y 0.175 0.208 0.598 1
Y10 Y 0.175 0.468 0.577 1
Y11 Y 0.208 0.109 0.032 1
Y12 Y 0.208 0.598 0.175 1
Y13 Y 0.292 0.325 0.902 1
Y14 Y 0.292 0.468 0.391 1
Y15 Y 0.325 0.902 0.292 1
Y16 Y 0.325 0.923 0.032 1
Y17 Y 0.391 0.292 0.468 1
Y18 Y 0.391 0.598 0.923 1
Y19 Y 0.402 0.077 0.609 1
Y20 Y 0.402 0.825 0.792 1
Y21 Y 0.423 0.098 0.891 1
Y22 Y 0.423 0.825 0.532 1
Y23 Y 0.468 0.391 0.292 1
Y24 Y 0.468 0.577 0.175 1
Y25 Y 0.532 0.423 0.825 1
Y26 Y 0.532 0.609 0.708 1
Y27 Y 0.577 0.175 0.468 1
Y28 Y 0.577 0.902 0.109 1
Y29 Y 0.598 0.175 0.208 1
Y30 Y 0.598 0.923 0.391 1
Y31 Y 0.609 0.402 0.077 1
Y32 Y 0.609 0.708 0.532 1
Y33 Y 0.675 0.077 0.968 1
Y34 Y 0.675 0.098 0.708 1
Y35 Y 0.708 0.532 0.609 1
Y36 Y 0.708 0.675 0.098 1
Y37 Y 0.792 0.402 0.825 1
Y38 Y 0.792 0.891 0.968 1
Y39 Y 0.825 0.532 0.423 1
Y40 Y 0.825 0.792 0.402 1
Y41 Y 0.891 0.423 0.098 1
Y42 Y 0.891 0.968 0.792 1
Y43 Y 0.902 0.109 0.577 1
Y44 Y 0.902 0.292 0.325 1
Y45 Y 0.923 0.032 0.325 1
Y46 Y 0.923 0.391 0.598 1
Y47 Y 0.968 0.675 0.077 1
Y48 Y 0.968 0.792 0.891 1
Tm1 Tm 0.125 0.250 0.375 1
Tm2 Tm 0.125 0.375 0.750 1
Tm3 Tm 0.250 0.375 0.125 1
Tm4 Tm 0.250 0.875 0.625 1
Tm5 Tm 0.375 0.125 0.250 1
Tm6 Tm 0.375 0.750 0.125 1
Tm7 Tm 0.625 0.250 0.875 1
Tm8 Tm 0.625 0.875 0.750 1
Tm9 Tm 0.750 0.125 0.375 1
Tm10 Tm 0.750 0.625 0.875 1
Tm11 Tm 0.875 0.625 0.250 1
Tm12 Tm 0.875 0.750 0.625 1
Ga1 Ga 0.000 0.000 0.000 1
Ga2 Ga 0.000 0.000 0.500 1
Ga3 Ga 0.000 0.500 0.000 1
Ga4 Ga 0.000 0.500 0.500 1
Ga5 Ga 0.125 0.750 0.875 1
Ga6 Ga 0.125 0.875 0.250 1
Ga7 Ga 0.250 0.125 0.875 1
Ga8 Ga 0.250 0.625 0.375 1
Ga9 Ga 0.375 0.250 0.625 1
Ga10 Ga 0.375 0.625 0.750 1
Ga11 Ga 0.500 0.000 0.000 1
Ga12 Ga 0.500 0.000 0.500 1
Ga13 Ga 0.500 0.500 0.000 1
Ga14 Ga 0.500 0.500 0.500 1
Ga15 Ga 0.625 0.375 0.250 1
Ga16 Ga 0.625 0.750 0.375 1
Ga17 Ga 0.750 0.375 0.625 1
Ga18 Ga 0.750 0.875 0.125 1
Ga19 Ga 0.875 0.125 0.750 1
Ga20 Ga 0.875 0.250 0.125 1
```

=====

Material: Pm6SmIn
Method: DFT, PBE
State: optimized geometry

Geometry as CIF:
```
data_Pm6SmIn
_chemical_formula_sum 'Pm6 Sm1 In1'
_cell_length_a 5.008
_cell_length_b 5.008
_cell_length_c 10.325
_cell_angle_alpha 90.00
_cell_angle_beta 90.00
_cell_angle_gamma 90.00
_space_group_name_H-M_alt 'P 1'
_space_group_IT_number 1
loop_
_space_group_symop_operation_xyz
'x,y,z'
loop_
_atom_site_label
_atom_site_type_symbol
_atom_site_fract_x
_atom_site_fract_y
_atom_site_fract_z
_atom_site_occupancy
Pm1 Pm 0.000 0.000 0.000 1
Pm2 Pm 0.000 0.000 0.500 1
Pm3 Pm 0.000 0.500 0.242 1
Pm4 Pm 0.000 0.500 0.758 1
Pm5 Pm 0.500 0.000 0.242 1
Pm6 Pm 0.500 0.000 0.758 1
Sm1 Sm 0.500 0.500 0.500 1
In1 In 0.500 0.500 0.000 1
```

=====

# PBE TbSc, optimized geometry
data_TbSc
_chemical_formula_sum 'Tb1 Sc1'
_cell_length_a 3.828
_cell_length_b 3.828
_cell_length_c 3.828
_cell_angle_alpha 90.00
_cell_angle_beta 90.00
_cell_angle_gamma 90.00
_space_group_name_H-M_alt 'P 1'
_space_group_IT_number 1
loop_
_space_group_symop_operation_xyz
'x,y,z'
loop_
_atom_site_label
_atom_site_type_symbol
_atom_site_fract_x
_atom_site_fract_y
_atom_site_fract_z
_atom_site_occupancy
Tb1 Tb 0.000 0.000 0.000 1
Sc1 Sc 0.500 0.500 0.500 1
# Distance to the lowest polymorph of the same formula = 37 meV/atom

=====

| no. | DFT formation energy (eV per formula unit) | total moment (Bohr magnetons per cell) |
| --- | --- | --- |
| 1 | -1.2 | 7.08 |
| 2 | 7.4 | 13.10 |
| 3 | -0.9 | 0.00 |
| 4 | 0.2 | 0.00 |